An optimized crystal structure of ErTl2TeO6. Source: Alexandria via LeMat-Bulk, functional GGA-PBE.

a = 5.911 Å, b = 5.910 Å, c = 8.363 Å
α = 90.00°, β = 90.00°, γ = 90.00°
Positions (direct):
Er1 0.000 0.750 0.500
Er2 0.500 0.250 0.000
Tl1 0.500 0.751 0.250
Tl2 0.000 0.249 0.750
Tl3 0.500 0.751 0.750
Tl4 0.000 0.249 0.250
Te1 0.500 0.250 0.500
Te2 0.000 0.750 0.000
O1 0.500 0.250 0.266
O2 0.500 0.250 0.734
O3 0.000 0.750 0.234
O4 0.000 0.750 0.766
O5 0.267 0.016 0.500
O6 0.733 0.016 0.500
O7 0.267 0.483 0.500
O8 0.733 0.483 0.500
O9 0.767 0.517 0.000
O10 0.233 0.517 0.000
O11 0.233 0.984 0.000
O12 0.767 0.984 0.000

Output
**V**: 292.1 Å³ per cell
**Energy relative to the elements, uncorrected**: -1512.1 meV per atom
**Calculated total energy**: -57.31 eV/f.u.